Crystalline Cu12Pd2Pt5 at its relaxed geometry, computed with GGA-PBE.

Values from the calculation:
Volume: 256.7 Å³/f.u.
Formation enthalpy at 0 K: -6.6 kJ/mol of atoms

abc: 7.7815 7.7815 4.6647
angles: 100.11 100.11 68.44
Atoms (fractional coordinates):
Cu  0.0518  0.5388  0.7983
Cu  0.0557  0.0557  0.3034
Cu  0.1451  0.6515  0.4134
Cu  0.3485  0.8549  0.5866
Cu  0.3839  0.3839  0.9823
Cu  0.4612  0.9482  0.2017
Cu  0.5388  0.0518  0.7983
Cu  0.6161  0.6161  0.0177
Cu  0.6515  0.1451  0.4134
Cu  0.8549  0.3485  0.5866
Cu  0.9443  0.9443  0.6966
Cu  0.9482  0.4612  0.2017
Pd  0.2512  0.7488  0.0000
Pd  0.7488  0.2512  0.0000
Pt  0.1622  0.1622  0.8761
Pt  0.2798  0.2798  0.4397
Pt  0.5000  0.5000  0.5000
Pt  0.7202  0.7202  0.5603
Pt  0.8378  0.8378  0.1239